Record 1
First-principles (PBE) data for a relaxed Tl2ZnAsCl6 crystal, as listed in Alexandria via LeMat-Bulk.

Results
E_form (uncorrected) (eV/f.u.): -8.07
Crystal system: triclinic
Volume (Å³/atom): 29.26

a = 7.125 Å, b = 7.243 Å, c = 7.415 Å
α = 114.79°, β = 118.38°, γ = 91.81°
Element x y z (fractional)
Tl1 0.217 0.231 0.458
Tl2 0.783 0.769 0.542
Zn1 0.500 0.000 0.000
As1 0.000 0.500 0.000
Cl1 0.173 0.201 0.966
Cl2 0.216 0.644 0.878
Cl3 0.358 0.865 0.615
Cl4 0.642 0.135 0.385
Cl5 0.784 0.356 0.122
Cl6 0.827 0.799 0.034

Record 2
First-principles (PBE) data for a relaxed Tm2AsCl2 crystal, as listed in Alexandria via LeMat-Bulk.

Results
E_form (uncorrected) (eV/f.u.): -9.19
Crystal system: trigonal
Volume (Å³/atom): 32.40

a = 12.166 Å, b = 12.166 Å, c = 12.166 Å
α = 18.72°, β = 18.72°, γ = 18.72°
Element x y z (fractional)
Tm1 0.123 0.123 0.123
Tm2 0.877 0.877 0.877
As1 0.500 0.500 0.500
Cl1 0.255 0.255 0.255
Cl2 0.745 0.745 0.745

Record 3
First-principles (PBE) data for a relaxed TmAsCl crystal, as listed in Alexandria via LeMat-Bulk.

Results
E_form (uncorrected) (eV/f.u.): -3.13
Crystal system: hexagonal
Volume (Å³/atom): 21.69

a = 4.665 Å, b = 4.665 Å, c = 3.453 Å
α = 90.00°, β = 90.00°, γ = 120.00°
Element x y z (fractional)
Tm1 0.000 0.000 0.000
As1 0.667 0.333 0.500
Cl1 0.333 0.667 0.000

Record 4
First-principles (PBE) data for a relaxed VAsCl3 crystal, as listed in Alexandria via LeMat-Bulk.

Results
Excess energy over the best structure of this formula in the dataset (meV per atom): 0
E_form (uncorrected) (eV/f.u.): -1.24
Crystal system: cubic
Volume (Å³/atom): 23.39

a = 4.890 Å, b = 4.890 Å, c = 4.890 Å
α = 90.00°, β = 90.00°, γ = 90.00°
Element x y z (fractional)
V1 0.000 0.000 0.000
As1 0.500 0.500 0.500
Cl1 0.000 0.000 0.500
Cl2 0.000 0.500 0.000
Cl3 0.500 0.000 0.000

- What is the volume in the fourth record?
  23.39 Å³/atom